First-principles (PBE-GGA) data for a relaxed structure of YZn2Tc2, as listed in the Alexandria database.

Cell lengths 4.400, 4.400, 5.760 Å; angles 67.55, 67.55, 90.00 degrees
Fractional positions:
Tc: 0.386 0.386 0.228
Y: 0.000 0.000 0.000
Zn: 0.250 0.750 0.500
Zn: 0.750 0.250 0.500
Tc: 0.614 0.614 0.772

Summary:
The density of states at the Fermi level is 5.1 states/eV per cell. As for the energy above the most stable polymorph in this dataset: 0.00 kJ per mole of atoms. The density is 7.4 g/cm³.